An optimized crystal structure of BaZrAg. Source: Alexandria via LeMat-Bulk, functional PBE.

a = 7.4520 Å, b = 7.4520 Å, c = 7.4520 Å
α = 90.00°, β = 90.00°, γ = 90.00°
Closest atoms and distances in Å follow each position.
Sites, in units of the cell vectors:
Ba 0.0000 0.0000 0.0000  4 Ag 3.23
Ba 0.0000 0.5000 0.5000  4 Ag 3.23
Ba 0.5000 0.0000 0.5000  4 Ag 3.23
Ba 0.5000 0.5000 0.0000  4 Ag 3.23
Zr 0.0000 0.0000 0.5000  4 Ag 3.23
Zr 0.0000 0.5000 0.0000  4 Ag 3.23
Zr 0.5000 0.0000 0.0000  4 Ag 3.23
Zr 0.5000 0.5000 0.5000  4 Ag 3.23
Ag 0.2500 0.2500 0.2500  4 Zr 3.23, 4 Ba 3.23
Ag 0.2500 0.7500 0.7500  4 Zr 3.23, 4 Ba 3.23
Ag 0.7500 0.2500 0.7500  4 Zr 3.23, 4 Ba 3.23
Ag 0.7500 0.7500 0.2500  4 Zr 3.23, 4 Ba 3.23

Output
DFT formation energy = 0.687 eV per atom
M_tot = 10.6 μB/cell
mass density = 5.4 g cm⁻³
DOS(E_F) = 4.05 states/eV/f.u.
space group = No. 216

***

An optimized crystal structure of BaZrAg3. Source: Alexandria via LeMat-Bulk, functional PBE.

a = 5.6306 Å, b = 5.6306 Å, c = 5.6306 Å
α = 90.00°, β = 90.00°, γ = 90.00°
Closest atoms and distances in Å follow each position.
Sites, in units of the cell vectors:
Ba 0.0000 0.0000 0.0000  6 Ag 2.82
Zr 0.5000 0.5000 0.5000  12 Ag 3.98
Ag 0.0000 0.0000 0.5000  2 Ba 2.82
Ag 0.0000 0.5000 0.0000  2 Ba 2.82
Ag 0.5000 0.0000 0.0000  2 Ba 2.82

Output
DFT formation energy = 1.355 eV per atom
M_tot = 2.3 μB/cell
mass density = 5.1 g cm⁻³
DOS(E_F) = 4.02 states/eV/f.u.
space group = No. 221

***

An optimized crystal structure of Be5Ag7. Source: Alexandria via LeMat-Bulk, functional PBE.

a = 6.4471 Å, b = 6.4471 Å, c = 6.4471 Å
α = 102.60°, β = 102.60°, γ = 124.31°
Closest atoms and distances in Å follow each position.
Sites, in units of the cell vectors:
Be 0.0000 0.0000 0.0000  5 Ag 2.26-2.42, 4 Be 2.31
Be 0.0855 0.0855 0.3879  1 Be 2.31
Be 0.0855 0.6976 0.0000  1 Be 2.31
Be 0.6976 0.0855 0.0000  1 Be 2.31
Be 0.6976 0.6976 0.6121  1 Be 2.31
Ag 0.0031 0.5031 0.5000  4 Ag 2.62-2.63
Ag 0.0184 0.2520 0.7664  5 Be 2.42-2.69, 4 Ag 2.62-2.66
Ag 0.2520 0.0184 0.7664  5 Be 2.42-2.69, 4 Ag 2.62-2.66
Ag 0.2520 0.4856 0.2336  5 Be 2.42-2.69, 4 Ag 2.62-2.66
Ag 0.4856 0.2520 0.2336  5 Be 2.42-2.69, 4 Ag 2.62-2.66
Ag 0.5031 0.0031 0.5000  4 Ag 2.62-2.63
Ag 0.6253 0.6253 0.0000  1 Be 2.26

Output
DFT formation energy = 0.525 eV per atom
M_tot = 0.0 μB/cell
mass density = 6.8 g cm⁻³
DOS(E_F) = 3.42 states/eV/f.u.
space group = No. 107

***

Which of these has the lowest DOS(E_F)? Be5Ag7

***

Among the records above, which one has the lowest M_tot? Be5Ag7